The following is a DFT calculation (PBE-GGA) of a relaxed structure of HoTm8Cd2.

## Properties
Volume   327.3 Å³/cell
Symmetry   C2/m (12)
Formation energy from the elements   0.05 eV/atom
M_tot   0.00 μB per formula unit

Unit cell a=5.463 b=8.607 c=8.607 alpha=119.18 beta=100.99 gamma=100.99
Fractional coordinates of all 11 atoms:
Tm (0.500, 0.220, 0.780)
Cd (0.000, 0.307, 0.693)
Tm (0.885, 0.680, 0.907)
Tm (0.115, 0.093, 0.320)
Tm (0.701, 0.398, 0.398)
Tm (0.885, 0.907, 0.680)
Cd (0.000, 0.693, 0.307)
Tm (0.115, 0.320, 0.093)
Tm (0.500, 0.780, 0.220)
Tm (0.299, 0.602, 0.602)
Ho (0.500, 0.000, 0.000)

=====

The following is a DFT calculation (PBE-GGA) of a relaxed structure of HoTm4Cd3.

## Properties
Volume   214.1 Å³/cell
Symmetry   R-3m (166)
Formation energy from the elements   -0.16 eV/atom
M_tot   0.00 μB per formula unit

Unit cell a=5.277 b=5.277 c=9.388 alpha=73.68 beta=73.68 gamma=60.00
Fractional coordinates of all 8 atoms:
Tm (0.614, 0.614, 0.158)
Tm (0.870, 0.870, 0.389)
Tm (0.130, 0.130, 0.611)
Tm (0.386, 0.386, 0.842)
Ho (0.000, 0.000, 0.000)
Cd (0.260, 0.260, 0.221)
Cd (0.740, 0.740, 0.779)
Cd (0.500, 0.500, 0.500)

=====

The following is a DFT calculation (PBE-GGA) of a relaxed structure of Ho2Tm2Cd.

## Properties
Volume   311.4 Å³/cell
Symmetry   I4_1/amd (141)
Formation energy from the elements   0.07 eV/atom
M_tot   0.00 μB per formula unit
Energy relative to the lowest polymorph listed for this composition   176 meV/atom

Unit cell a=5.020 b=5.020 c=12.858 alpha=101.26 beta=101.26 gamma=90.00
Fractional coordinates of all 10 atoms:
Tm (0.176, 0.176, 0.353)
Cd (0.500, 0.500, 0.000)
Ho (0.673, 0.673, 0.346)
Ho (0.327, 0.327, 0.654)
Cd (0.250, 0.750, 0.500)
Tm (0.574, 0.074, 0.147)
Tm (0.926, 0.426, 0.853)
Ho (0.423, 0.923, 0.846)
Ho (0.077, 0.577, 0.154)
Tm (0.824, 0.824, 0.647)